DFT (GGA-PBE) results for crystalline Rb3Pd2Cl9 at its relaxed geometry.

Geometry as CIF:
```
data_Rb3Pd2Cl9
_chemical_formula_sum 'Rb6 Pd4 Cl18'
_cell_length_a 7.1172
_cell_length_b 7.1172
_cell_length_c 18.3732
_cell_angle_alpha 90.00
_cell_angle_beta 90.00
_cell_angle_gamma 120.00
_space_group_name_H-M_alt 'P 63/m m c'
_space_group_IT_number 194
_space_group_name_Hall '-P 6c 2c'
loop_
_atom_site_label
_atom_site_type_symbol
_atom_site_fract_x
_atom_site_fract_y
_atom_site_fract_z
_atom_site_occupancy
Rb1 Rb 0.0000 0.0000 0.2500 1
Rb2 Rb 0.3333 0.6667 0.0648 1
Pd1 Pd 0.3333 0.6667 0.6650 1
Cl1 Cl 0.0170 0.5085 0.7500 1
Cl2 Cl 0.1734 0.3469 0.5916 1
```

Summary:
As for the uncorrected energy: -3.22 eV/atom. The calculation puts the total magnetization at 1.95 μB/f.u. For the uncorrected formation energy, the calculation gives -1083 meV/atom.